Entry 1:
VASP calculation (PBE) on crystalline Cu6Rh at its relaxed geometry.

Summary:
- final energy (eV per formula unit) = -23.8
- energy relative to the elements (eV/atom) = 1.154
- DOS(E_F) (states/eV/atom) = 1.04
- volume (Å³/atom) = 17.981
- distance to the lowest polymorph of the same formula (meV/atom) = 1113.6

a = 6.314 Å, b = 6.314 Å, c = 6.314 Å
α = 90.00°, β = 90.00°, γ = 90.00°
Fractional coordinates of all 14 atoms:
Cu 0.000 0.250 0.500
Cu 0.000 0.500 0.250
Cu 0.000 0.500 0.750
Cu 0.000 0.750 0.500
Cu 0.250 0.000 0.500
Cu 0.250 0.500 0.000
Cu 0.500 0.000 0.250
Cu 0.500 0.000 0.750
Cu 0.500 0.250 0.000
Cu 0.500 0.750 0.000
Cu 0.750 0.000 0.500
Cu 0.750 0.500 0.000
Rh 0.000 0.000 0.000
Rh 0.500 0.500 0.500

=====

Entry 2:
VASP calculation (PBE) on crystalline LaCd2Rh at its relaxed geometry.

Summary:
- final energy (eV per formula unit) = -15.3
- energy relative to the elements (eV/atom) = -0.308
- DOS(E_F) (states/eV/atom) = 0.69
- volume (Å³/atom) = 23.078

a = 3.506 Å, b = 3.506 Å, c = 7.510 Å
α = 90.00°, β = 90.00°, γ = 90.00°
Fractional coordinates of all 4 atoms:
La 0.000 0.000 0.000
Cd 0.000 0.000 0.428
Cd 0.500 0.500 0.664
Rh 0.500 0.500 0.227

=====

Entry 3:
VASP calculation (PBE) on crystalline Cs2ZnCu2Br6 at its relaxed geometry.

Summary:
- final energy (eV per formula unit) = -31.7
- volume (Å³/atom) = 33.242
- E_form (uncorrected) (eV/atom) = -0.95

a = 7.792 Å, b = 7.792 Å, c = 8.005 Å
α = 114.03°, β = 114.03°, γ = 58.26°
Fractional coordinates of all 11 atoms:
Cs 0.223 0.223 0.197
Cs 0.777 0.777 0.803
Zn 0.000 0.000 0.500
Cu 0.416 0.416 0.720
Cu 0.584 0.584 0.280
Br 0.219 0.745 0.248
Br 0.235 0.235 0.689
Br 0.255 0.781 0.752
Br 0.745 0.219 0.248
Br 0.765 0.765 0.311
Br 0.781 0.255 0.752

=====

Entry 4:
VASP calculation (PBE) on crystalline CsHg2GeTe at its relaxed geometry.

Summary:
- final energy (eV per formula unit) = -10.4
- DOS(E_F) (states/eV/atom) = 0.54
- volume (Å³/atom) = 36.646
- E_form (uncorrected) (eV/atom) = -0.23

a = 5.636 Å, b = 5.636 Å, c = 5.769 Å
α = 90.00°, β = 90.00°, γ = 90.00°
Fractional coordinates of all 5 atoms:
Cs 0.000 0.000 0.000
Hg 0.000 0.500 0.500
Hg 0.500 0.000 0.500
Ge 0.500 0.500 0.500
Te 0.500 0.500 0.000

=====

Entry 5:
VASP calculation (PBE) on crystalline Tb3AgIr2 at its relaxed geometry.

Summary:
- final energy (eV per formula unit) = -38.4
- energy relative to the elements (eV/atom) = -0.660
- DOS(E_F) (states/eV/atom) = 0.81
- volume (Å³/atom) = 21.933
- distance to the lowest polymorph of the same formula (meV/atom) = 0.0

a = 3.468 Å, b = 3.468 Å, c = 10.940 Å
α = 90.00°, β = 90.00°, γ = 90.00°
Fractional coordinates of all 6 atoms:
Tb 0.000 0.000 0.000
Tb 0.000 0.000 0.308
Tb 0.000 0.000 0.692
Ag 0.500 0.500 0.500
Ir 0.500 0.500 0.162
Ir 0.500 0.500 0.838

=====

Entry 6:
VASP calculation (PBE) on crystalline ZnCrHg at its relaxed geometry.

Summary:
- final energy (eV per formula unit) = -10.2
- energy relative to the elements (eV/atom) = 0.332
- DOS(E_F) (states/eV/atom) = 0.40
- volume (Å³/atom) = 17.518
- distance to the lowest polymorph of the same formula (meV/atom) = 0.0

a = 3.043 Å, b = 3.043 Å, c = 11.351 Å
α = 90.00°, β = 90.00°, γ = 90.00°
Fractional coordinates of all 6 atoms:
Zn 0.000 0.000 0.000
Zn 0.500 0.500 0.500
Cr 0.000 0.000 0.644
Cr 0.500 0.500 0.144
Hg 0.000 0.000 0.318
Hg 0.500 0.500 0.818

=====

What did the third record say?
VASP calculation (PBE) on crystalline Cs2ZnCu2Br6 at its relaxed geometry.

Summary:
- final energy (eV per formula unit) = -31.7
- volume (Å³/atom) = 33.242
- E_form (uncorrected) (eV/atom) = -0.95

a = 7.792 Å, b = 7.792 Å, c = 8.005 Å
α = 114.03°, β = 114.03°, γ = 58.26°
Fractional coordinates of all 11 atoms:
Cs 0.223 0.223 0.197
Cs 0.777 0.777 0.803
Zn 0.000 0.000 0.500
Cu 0.416 0.416 0.720
Cu 0.584 0.584 0.280
Br 0.219 0.745 0.248
Br 0.235 0.235 0.689
Br 0.255 0.781 0.752
Br 0.745 0.219 0.248
Br 0.765 0.765 0.311
Br 0.781 0.255 0.752

=====

> final energy of number 3 (Cs2ZnCu2Br6)?

-31.7 eV per formula unit

=====

Repeat the sixth record exactly.
VASP calculation (PBE) on crystalline ZnCrHg at its relaxed geometry.

Summary:
- final energy (eV per formula unit) = -10.2
- energy relative to the elements (eV/atom) = 0.332
- DOS(E_F) (states/eV/atom) = 0.40
- volume (Å³/atom) = 17.518
- distance to the lowest polymorph of the same formula (meV/atom) = 0.0

a = 3.043 Å, b = 3.043 Å, c = 11.351 Å
α = 90.00°, β = 90.00°, γ = 90.00°
Fractional coordinates of all 6 atoms:
Zn 0.000 0.000 0.000
Zn 0.500 0.500 0.500
Cr 0.000 0.000 0.644
Cr 0.500 0.500 0.144
Hg 0.000 0.000 0.318
Hg 0.500 0.500 0.818

=====

> Which of these has the lowest volume?

ZnCrHg